# PBE NaSrPmSn, relaxed
data_NaSrPmSn
_chemical_formula_sum 'Na4 Sr4 Pm4 Sn4'
_symmetry_space_group_name_H-M 'F -4 3 m'
_symmetry_Int_Tables_number 216
_symmetry_space_group_name_Hall 'F -4 2 3'
_cell_length_a 7.954
_cell_length_b 7.954
_cell_length_c 7.954
_cell_angle_alpha 90.00
_cell_angle_beta 90.00
_cell_angle_gamma 90.00
loop_
_atom_site_label
_atom_site_fract_x
_atom_site_fract_y
_atom_site_fract_z
Na1 0.000 0.000 0.000
Sr1 0.250 0.250 0.750
Pm1 0.250 0.250 0.250
Sn1 0.000 0.000 0.500
# - raw total energy (eV/atom) = -3.2489
# - density of states at the Fermi level (states/eV per cell) = 9.66
# - formation energy (eV/atom) = -0.31


# PBE Na2PmSnTe4, relaxed
data_Na2PmSnTe4
_chemical_formula_sum 'Na2 Pm1 Sn1 Te4'
_symmetry_space_group_name_H-M 'P 1 2/m 1'
_symmetry_Int_Tables_number 10
_symmetry_space_group_name_Hall '-P 2y'
_cell_length_a 7.830
_cell_length_b 4.429
_cell_length_c 7.994
_cell_angle_alpha 90.00
_cell_angle_beta 108.65
_cell_angle_gamma 90.00
loop_
_atom_site_label
_atom_site_fract_x
_atom_site_fract_y
_atom_site_fract_z
Na1 0.000 0.000 0.000
Na2 0.500 0.500 0.000
Pm1 0.000 0.500 0.500
Sn1 0.500 0.000 0.500
Te1 0.251 0.000 0.735
Te2 0.260 0.500 0.267
# - raw total energy (eV/atom) = -3.8845
# - density of states at the Fermi level (states/eV per cell) = 2.74
# - ΔE_f (raw) (meV per atom) = -890


# PBE NaPmTlSn, relaxed
data_NaPmTlSn
_chemical_formula_sum 'Na1 Pm1 Tl1 Sn1'
_symmetry_space_group_name_H-M 'P m m m'
_symmetry_Int_Tables_number 47
_symmetry_space_group_name_Hall '-P 2 2'
_cell_length_a 4.355
_cell_length_b 4.880
_cell_length_c 5.200
_cell_angle_alpha 90.00
_cell_angle_beta 90.00
_cell_angle_gamma 90.00
loop_
_atom_site_label
_atom_site_fract_x
_atom_site_fract_y
_atom_site_fract_z
Na1 0.000 0.000 0.000
Pm1 0.000 0.500 0.500
Tl1 0.500 0.500 0.000
Sn1 0.500 0.000 0.500
# - raw total energy (eV/atom) = -3.4918
# - density of states at the Fermi level (states/eV per cell) = 2.29
# - formation energy (eV/atom) = -0.38


# PBE NaPmTlSn, relaxed
data_NaPmTlSn
_chemical_formula_sum 'Na4 Pm4 Tl4 Sn4'
_symmetry_space_group_name_H-M 'F -4 3 m'
_symmetry_Int_Tables_number 216
_symmetry_space_group_name_Hall 'F -4 2 3'
_cell_length_a 7.639
_cell_length_b 7.639
_cell_length_c 7.639
_cell_angle_alpha 90.00
_cell_angle_beta 90.00
_cell_angle_gamma 90.00
loop_
_atom_site_label
_atom_site_fract_x
_atom_site_fract_y
_atom_site_fract_z
Na1 0.000 0.000 0.000
Pm1 0.000 0.000 0.500
Tl1 0.250 0.250 0.250
Sn1 0.250 0.250 0.750
# - raw total energy (eV/atom) = -3.4379
# - density of states at the Fermi level (states/eV per cell) = 8.13
# - formation energy (eV/atom) = -0.33


# PBE Na2PmZnSn2, relaxed
data_Na2PmZnSn2
_chemical_formula_sum 'Na4 Pm2 Zn2 Sn4'
_symmetry_space_group_name_H-M 'P m c 21'
_symmetry_Int_Tables_number 26
_symmetry_space_group_name_Hall 'P 2c -2'
_cell_length_a 4.757
_cell_length_b 8.915
_cell_length_c 7.673
_cell_angle_alpha 90.00
_cell_angle_beta 90.00
_cell_angle_gamma 90.00
loop_
_atom_site_label
_atom_site_fract_x
_atom_site_fract_y
_atom_site_fract_z
Na1 0.000 0.081 0.000
Na2 0.500 0.151 0.314
Pm1 0.500 0.471 0.996
Zn1 0.000 0.320 0.637
Sn1 0.000 0.380 0.268
Sn2 0.500 0.190 0.726
# - raw total energy (eV/atom) = -3.1387
# - density of states at the Fermi level (states/eV per cell) = 5.29
# - formation energy (eV/atom) = -0.36


# PBE NaSrPm, relaxed
data_NaSrPm
_chemical_formula_sum 'Na4 Sr4 Pm4'
_symmetry_space_group_name_H-M 'C 1 2/m 1'
_symmetry_Int_Tables_number 12
_symmetry_space_group_name_Hall '-C 2y'
_cell_length_a 6.747
_cell_length_b 3.890
_cell_length_c 19.035
_cell_angle_alpha 90.00
_cell_angle_beta 96.82
_cell_angle_gamma 90.00
loop_
_atom_site_label
_atom_site_fract_x
_atom_site_fract_y
_atom_site_fract_z
Na1 0.192 0.000 0.080
Sr1 0.080 0.000 0.745
Pm1 0.191 0.500 0.574
# - raw total energy (eV/atom) = -2.4997
# - density of states at the Fermi level (states/eV per cell) = 11.14
# - formation energy (eV/atom) = 0.08


# PBE Na4SrPm, relaxed
data_Na4SrPm
_chemical_formula_sum 'Na16 Sr4 Pm4'
_symmetry_space_group_name_H-M 'F -4 3 m'
_symmetry_Int_Tables_number 216
_symmetry_space_group_name_Hall 'F -4 2 3'
_cell_length_a 9.665
_cell_length_b 9.665
_cell_length_c 9.665
_cell_angle_alpha 90.00
_cell_angle_beta 90.00
_cell_angle_gamma 90.00
loop_
_atom_site_label
_atom_site_fract_x
_atom_site_fract_y
_atom_site_fract_z
Na1 0.124 0.124 0.376
Sr1 0.000 0.000 0.000
Pm1 0.250 0.250 0.750
# - raw total energy (eV/atom) = -1.7672
# - density of states at the Fermi level (states/eV per cell) = 26.43
# - formation energy (eV/atom) = 0.18


# PBE NaSrPm, relaxed
data_NaSrPm
_chemical_formula_sum 'Na2 Sr2 Pm2'
_symmetry_space_group_name_H-M 'I 4 m m'
_symmetry_Int_Tables_number 107
_symmetry_space_group_name_Hall 'I 4 -2'
_cell_length_a 3.779
_cell_length_b 3.779
_cell_length_c 17.019
_cell_angle_alpha 90.00
_cell_angle_beta 90.00
_cell_angle_gamma 90.00
loop_
_atom_site_label
_atom_site_fract_x
_atom_site_fract_y
_atom_site_fract_z
Na1 0.000 0.000 0.000
Sr1 0.000 0.000 0.676
Pm1 0.000 0.000 0.345
# - raw total energy (eV/atom) = -2.3870
# - density of states at the Fermi level (states/eV per cell) = 6.45
# - formation energy (eV/atom) = 0.20


# PBE NaSrPm, relaxed
data_NaSrPm
_chemical_formula_sum 'Na1 Sr1 Pm1'
_symmetry_space_group_name_H-M 'P 3 m 1'
_symmetry_Int_Tables_number 156
_symmetry_space_group_name_Hall 'P 3 -2"'
_cell_length_a 3.8377
_cell_length_b 3.8377
_cell_length_c 9.6206
_cell_angle_alpha 90.00
_cell_angle_beta 90.00
_cell_angle_gamma 120.00
loop_
_atom_site_label
_atom_site_fract_x
_atom_site_fract_y
_atom_site_fract_z
Na1 0.0000 0.0000 0.0000
Sr1 0.6667 0.3333 0.3513
Pm1 0.3333 0.6667 0.6812
# - raw total energy (eV/atom) = -2.3927
# - density of states at the Fermi level (states/eV per cell) = 3.44
# - formation energy (eV/atom) = 0.19


# PBE NaSr3Pm2Te6, relaxed
data_NaSr3Pm2Te6
_chemical_formula_sum 'Na2 Sr6 Pm4 Te12'
_symmetry_space_group_name_H-M 'C 1 2/m 1'
_symmetry_Int_Tables_number 12
_symmetry_space_group_name_Hall '-C 2y'
_cell_length_a 8.003
_cell_length_b 13.851
_cell_length_c 8.013
_cell_angle_alpha 90.00
_cell_angle_beta 109.43
_cell_angle_gamma 90.00
loop_
_atom_site_label
_atom_site_fract_x
_atom_site_fract_y
_atom_site_fract_z
Na1 0.000 0.000 0.000
Sr1 0.000 0.165 0.500
Sr2 0.000 0.500 0.500
Pm1 0.000 0.333 0.000
Te1 0.240 0.500 0.236
Te2 0.249 0.169 0.238
# - raw total energy (eV/atom) = -4.4234
# - density of states at the Fermi level (states/eV per cell) = 7.65
# - ΔE_f (raw) (meV per atom) = -1530


# PBE NaSr2PmTe4, relaxed
data_NaSr2PmTe4
_chemical_formula_sum 'Na1 Sr2 Pm1 Te4'
_symmetry_space_group_name_H-M 'P 1 2/m 1'
_symmetry_Int_Tables_number 10
_symmetry_space_group_name_Hall '-P 2y'
_cell_length_a 7.989
_cell_length_b 4.650
_cell_length_c 8.051
_cell_angle_alpha 90.00
_cell_angle_beta 108.82
_cell_angle_gamma 90.00
loop_
_atom_site_label
_atom_site_fract_x
_atom_site_fract_y
_atom_site_fract_z
Na1 0.000 0.000 0.000
Sr1 0.500 0.000 0.500
Sr2 0.500 0.500 0.000
Pm1 0.000 0.500 0.500
Te1 0.235 0.000 0.741
Te2 0.240 0.500 0.255
# - raw total energy (eV/atom) = -4.2547
# - ΔE_f (raw) (meV per atom) = -1505


# PBE NaSr4Pm3Te8, relaxed
data_NaSr4Pm3Te8
_chemical_formula_sum 'Na3 Sr12 Pm9 Te24'
_symmetry_space_group_name_H-M 'R -3 m'
_symmetry_Int_Tables_number 166
_symmetry_space_group_name_Hall '-R 3 2"'
_cell_length_a 9.1933
_cell_length_b 9.1933
_cell_length_c 22.6989
_cell_angle_alpha 90.00
_cell_angle_beta 90.00
_cell_angle_gamma 120.00
loop_
_atom_site_label
_atom_site_fract_x
_atom_site_fract_y
_atom_site_fract_z
Na1 0.0000 0.0000 0.0000
Sr1 0.0000 0.0000 0.5000
Sr2 0.0000 0.5000 0.5000
Pm1 0.0000 0.5000 0.0000
Te1 0.0000 0.0000 0.2541
Te2 0.0027 0.5014 0.2543
# - raw total energy (eV/atom) = -4.5029
# - density of states at the Fermi level (states/eV per cell) = 13.91
# - ΔE_f (raw) (meV per atom) = -1538


# PBE NaSrPmZn, relaxed
data_NaSrPmZn
_chemical_formula_sum 'Na4 Sr4 Pm4 Zn4'
_symmetry_space_group_name_H-M 'F -4 3 m'
_symmetry_Int_Tables_number 216
_symmetry_space_group_name_Hall 'F -4 2 3'
_cell_length_a 7.907
_cell_length_b 7.907
_cell_length_c 7.907
_cell_angle_alpha 90.00
_cell_angle_beta 90.00
_cell_angle_gamma 90.00
loop_
_atom_site_label
_atom_site_fract_x
_atom_site_fract_y
_atom_site_fract_z
Na1 0.000 0.000 0.000
Sr1 0.250 0.250 0.750
Pm1 0.250 0.250 0.250
Zn1 0.000 0.000 0.500
# - raw total energy (eV/atom) = -2.1779
# - density of states at the Fermi level (states/eV per cell) = 11.55
# - formation energy (eV/atom) = 0.08


# PBE NaTbPm2, relaxed
data_NaTbPm2
_chemical_formula_sum 'Na3 Tb3 Pm6'
_symmetry_space_group_name_H-M 'R -3 m'
_symmetry_Int_Tables_number 166
_symmetry_space_group_name_Hall '-R 3 2"'
_cell_length_a 3.5589
_cell_length_b 3.5589
_cell_length_c 38.5570
_cell_angle_alpha 90.00
_cell_angle_beta 90.00
_cell_angle_gamma 120.00
loop_
_atom_site_label
_atom_site_fract_x
_atom_site_fract_y
_atom_site_fract_z
Na1 0.0000 0.0000 0.0000
Tb1 0.0000 0.0000 0.5000
Pm1 0.0000 0.0000 0.0920
# - raw total energy (eV/atom) = -3.7282
# - density of states at the Fermi level (states/eV per cell) = 13.79
# - formation energy (eV/atom) = 0.13


# PBE NaTbPm, relaxed
data_NaTbPm
_chemical_formula_sum 'Na2 Tb2 Pm2'
_symmetry_space_group_name_H-M 'I 4 m m'
_symmetry_Int_Tables_number 107
_symmetry_space_group_name_Hall 'I 4 -2'
_cell_length_a 3.534
_cell_length_b 3.534
_cell_length_c 16.416
_cell_angle_alpha 90.00
_cell_angle_beta 90.00
_cell_angle_gamma 90.00
loop_
_atom_site_label
_atom_site_fract_x
_atom_site_fract_y
_atom_site_fract_z
Na1 0.000 0.000 0.000
Tb1 0.000 0.000 0.327
Pm1 0.000 0.000 0.677
# - raw total energy (eV/atom) = -3.4265
# - density of states at the Fermi level (states/eV per cell) = 6.89
# - formation energy (eV/atom) = 0.14


# PBE NaTbPm2, relaxed
data_NaTbPm2
_chemical_formula_sum 'Na1 Tb1 Pm2'
_symmetry_space_group_name_H-M 'P 4/m m m'
_symmetry_Int_Tables_number 123
_symmetry_space_group_name_Hall '-P 4 2'
_cell_length_a 3.543
_cell_length_b 3.543
_cell_length_c 10.908
_cell_angle_alpha 90.00
_cell_angle_beta 90.00
_cell_angle_gamma 90.00
loop_
_atom_site_label
_atom_site_fract_x
_atom_site_fract_y
_atom_site_fract_z
Na1 0.000 0.000 0.000
Tb1 0.000 0.000 0.500
Pm1 0.500 0.500 0.267
# - raw total energy (eV/atom) = -3.7605
# - density of states at the Fermi level (states/eV per cell) = 3.74
# - formation energy (eV/atom) = 0.10


# PBE NaTbPm, relaxed
data_NaTbPm
_chemical_formula_sum 'Na1 Tb1 Pm1'
_symmetry_space_group_name_H-M 'P 3 m 1'
_symmetry_Int_Tables_number 156
_symmetry_space_group_name_Hall 'P 3 -2"'
_cell_length_a 3.5860
_cell_length_b 3.5860
_cell_length_c 9.2272
_cell_angle_alpha 90.00
_cell_angle_beta 90.00
_cell_angle_gamma 120.00
loop_
_atom_site_label
_atom_site_fract_x
_atom_site_fract_y
_atom_site_fract_z
Na1 0.0000 0.0000 0.0000
Tb1 0.3333 0.6667 0.6539
Pm1 0.6667 0.3333 0.3515
# - raw total energy (eV/atom) = -3.4446
# - density of states at the Fermi level (states/eV per cell) = 4.00
# - formation energy (eV/atom) = 0.12


# PBE NaTbPm, relaxed
data_NaTbPm
_chemical_formula_sum 'Na2 Tb2 Pm2'
_symmetry_space_group_name_H-M 'P 4/n m m'
_symmetry_Int_Tables_number 129
_cell_length_a 3.553
_cell_length_b 3.553
_cell_length_c 16.419
_cell_angle_alpha 90.00
_cell_angle_beta 90.00
_cell_angle_gamma 90.00
loop_
_symmetry_equiv_pos_as_xyz
'x,y,z'
'-x,-y,-z'
'-y+1/2,x,z'
'y+1/2,-x,-z'
'-x+1/2,-y+1/2,z'
'x+1/2,y+1/2,-z'
'y,-x+1/2,z'
'-y,x+1/2,-z'
'x+1/2,-y,-z'
'-x+1/2,y,z'
'-y,-x,-z'
'y,x,z'
'-x,y+1/2,-z'
'x,-y+1/2,z'
'y+1/2,x+1/2,-z'
'-y+1/2,-x+1/2,z'
loop_
_atom_site_label
_atom_site_fract_x
_atom_site_fract_y
_atom_site_fract_z
Na1 0.250 0.250 0.091
Tb1 0.250 0.250 0.421
Pm1 0.250 0.250 0.733
# - raw total energy (eV/atom) = -3.5033
# - density of states at the Fermi level (states/eV per cell) = 6.05
# - formation energy (eV/atom) = 0.06


# PBE NaTbPm, relaxed
data_NaTbPm
_chemical_formula_sum 'Na2 Tb2 Pm2'
_symmetry_space_group_name_H-M 'P -1'
_symmetry_Int_Tables_number 2
_symmetry_space_group_name_Hall '-P 1'
_cell_length_a 3.605
_cell_length_b 6.176
_cell_length_c 9.908
_cell_angle_alpha 72.00
_cell_angle_beta 79.67
_cell_angle_gamma 89.93
loop_
_atom_site_label
_atom_site_fract_x
_atom_site_fract_y
_atom_site_fract_z
Na1 0.250 0.249 0.498
Tb1 0.073 0.741 0.850
Pm1 0.425 0.757 0.152
# - raw total energy (eV/atom) = -3.4434
# - density of states at the Fermi level (states/eV per cell) = 7.84
# - formation energy (eV/atom) = 0.12


# PBE NaTb2Pm3Te6, relaxed
data_NaTb2Pm3Te6
_chemical_formula_sum 'Na2 Tb4 Pm6 Te12'
_symmetry_space_group_name_H-M 'C 1 2/m 1'
_symmetry_Int_Tables_number 12
_symmetry_space_group_name_Hall '-C 2y'
_cell_length_a 19.381
_cell_length_b 4.422
_cell_length_c 8.921
_cell_angle_alpha 90.00
_cell_angle_beta 103.48
_cell_angle_gamma 90.00
loop_
_atom_site_label
_atom_site_fract_x
_atom_site_fract_y
_atom_site_fract_z
Na1 0.000 0.000 0.000
Tb1 0.167 0.500 0.340
Pm1 0.000 0.000 0.500
Pm2 0.162 0.500 0.824
Te1 0.004 0.500 0.248
Te2 0.168 0.000 0.088
Te3 0.168 0.000 0.579
# - raw total energy (eV/atom) = -5.0013
# - density of states at the Fermi level (states/eV per cell) = 9.31
# - ΔE_f (raw) (meV per atom) = -1361